A plane-wave DFT calculation with PBE was carried out for a relaxed Na4ThTl5 crystal.

Calculated values
Total moment ... 0.000 μB/cell
Formation enthalpy at 0 K ... -98 meV/atom

Cell: 3.578 3.578 22.249 Å, 90.00 90.00 90.00°
Space group P4/mmm (No. 123)
One atom of each set of equivalent atoms:
Na1 0.000 0.000 0.102 x2
Na2 0.000 0.000 0.302 x2
Th1 0.000 0.000 0.500 x1
Tl1 0.500 0.500 0.000 x1
Tl2 0.500 0.500 0.203 x2
Tl3 0.500 0.500 0.397 x2